1.
LaHoIn | GGA-PBE | optimized geometry

Output
V = 195 Å³ per cell
total DFT energy (no corrections) = -26.40 eV per cell
SG = No. 11
formation enthalpy at 0 K = -31 kJ/mol of atoms

```
data_LaHoIn
_chemical_formula_sum 'La2 Ho2 In2'
_cell_length_a 4.821
_cell_length_b 4.821
_cell_length_c 8.381
_cell_angle_alpha 90.00
_cell_angle_beta 90.21
_cell_angle_gamma 90.00
_symmetry_space_group_name_H-M 'P 1'
_symmetry_Int_Tables_number 1
_symmetry_space_group_name_Hall 'P 1'
loop_
_atom_site_label
_atom_site_type_symbol
_atom_site_fract_x
_atom_site_fract_y
_atom_site_fract_z
La1 La 0.248 0.750 0.149
La2 La 0.752 0.250 0.851
In1 In 0.748 0.250 0.246
In2 In 0.252 0.750 0.754
Ho1 Ho 0.250 0.250 0.500
Ho2 Ho 0.750 0.750 0.500
```

=====

2.
Ce3PrIn6 | GGA-PBE | optimized geometry

Output
V = 376 Å³ per cell
total DFT energy (no corrections) = -38.09 eV per cell
SG = No. 160
formation enthalpy at 0 K = 9 kJ/mol of atoms

```
data_Ce3PrIn6
_chemical_formula_sum 'Ce3 Pr1 In6'
_cell_length_a 3.321
_cell_length_b 11.494
_cell_length_c 11.494
_cell_angle_alpha 119.08
_cell_angle_beta 95.53
_cell_angle_gamma 95.53
_symmetry_space_group_name_H-M 'P 1'
_symmetry_Int_Tables_number 1
_symmetry_space_group_name_Hall 'P 1'
loop_
_atom_site_label
_atom_site_type_symbol
_atom_site_fract_x
_atom_site_fract_y
_atom_site_fract_z
In1 In 0.384 0.000 0.243
In2 In 0.575 0.538 0.538
In3 In 0.141 0.757 0.757
In4 In 0.384 0.243 0.000
In5 In 0.038 0.462 0.000
In6 In 0.038 0.000 0.462
Pr1 Pr 0.787 0.000 0.000
Ce1 Ce 0.677 0.000 0.714
Ce2 Ce 0.677 0.714 0.000
Ce3 Ce 0.962 0.286 0.286
```

=====

3.
Dy4Er4Tm | GGA-PBE | optimized geometry

Output
V = 280 Å³ per cell
total DFT energy (no corrections) = -40.14 eV per cell
SG = No. 12
formation enthalpy at 0 K = 11 kJ/mol of atoms

```
data_Dy4Er4Tm
_chemical_formula_sum 'Dy4 Er4 Tm1'
_cell_length_a 5.449
_cell_length_b 8.665
_cell_length_c 8.881
_cell_angle_alpha 45.10
_cell_angle_beta 72.14
_cell_angle_gamma 71.68
_symmetry_space_group_name_H-M 'P 1'
_symmetry_Int_Tables_number 1
_symmetry_space_group_name_Hall 'P 1'
loop_
_atom_site_label
_atom_site_type_symbol
_atom_site_fract_x
_atom_site_fract_y
_atom_site_fract_z
Tm1 Tm 0.500 0.000 0.000
Dy1 Dy 0.868 0.297 0.967
Dy2 Dy 0.719 0.854 0.709
Dy3 Dy 0.281 0.146 0.291
Dy4 Dy 0.132 0.703 0.033
Er1 Er 0.636 0.430 0.299
Er2 Er 0.364 0.570 0.701
Er3 Er 0.074 0.237 0.615
Er4 Er 0.926 0.763 0.385
```

=====

4.
Ag2Pb | GGA-PBE | optimized geometry

Output
V = 133 Å³ per cell
total DFT energy (no corrections) = -18.31 eV per cell
SG = No. 63
formation enthalpy at 0 K = 8 kJ/mol of atoms

```
data_Ag2Pb
_chemical_formula_sum 'Ag4 Pb2'
_cell_length_a 5.742
_cell_length_b 5.742
_cell_length_c 4.918
_cell_angle_alpha 90.00
_cell_angle_beta 90.00
_cell_angle_gamma 125.02
_symmetry_space_group_name_H-M 'P 1'
_symmetry_Int_Tables_number 1
_symmetry_space_group_name_Hall 'P 1'
loop_
_atom_site_label
_atom_site_type_symbol
_atom_site_fract_x
_atom_site_fract_y
_atom_site_fract_z
Ag1 Ag 0.848 0.474 0.250
Ag2 Ag 0.526 0.152 0.750
Ag3 Ag 0.152 0.526 0.750
Ag4 Ag 0.474 0.848 0.250
Pb1 Pb 0.208 0.208 0.250
Pb2 Pb 0.792 0.792 0.750
```